! Cs4Nd3TaSe8 GGA-PBE optimized geometry; values from VASP
! - raw formation energy (eV per atom) = -1.4232
! - theoretical density (g cm⁻³) = 5.56
! - final energy (eV per atom) = -5.0136
! - magnetic moment (μB/atom) = 0.12
! - space-group type = No. 166
&SYSTEM
  ibrav = 0, nat = 16, ntyp = 4
/
ATOMIC_SPECIES
Cs 132.91 Cs.upf
Nd 144.24 Nd.upf
Ta 180.95 Ta.upf
Se 78.96 Se.upf
CELL_PARAMETERS angstrom
4.2725 2.4667 8.3980
-4.2725 2.4667 8.3980
0.0000 -4.9335 8.3980
ATOMIC_POSITIONS angstrom
Cs 0.0000 0.0000 0.0000
Cs -2.1363 -1.2334 8.3980
Cs -2.1363 1.2334 16.7959
Cs 0.0000 2.4667 8.3980
Nd -4.2725 0.0000 12.5969
Nd -2.1363 1.2334 4.1990
Nd 2.1363 1.2334 4.1990
Ta 0.0000 0.0000 12.5970
Se 0.0000 0.0000 5.8387
Se -1.9643 -1.1341 14.1408
Se 0.0000 -2.2682 11.0531
Se -1.9643 1.1341 11.0531
Se 1.9643 -1.1341 14.1409
Se 0.0000 2.2682 14.1409
Se 1.9643 1.1341 11.0530
Se 0.0000 0.0000 19.3552